(1)
DFT (PBE) results for ZrTiMo after structural relaxation.

As for the energy relative to the elements: -95 meV/atom. For the polymorph energy (0 for the lowest one), the calculation gives 0 meV per atom. The value obtained for the volume is 56 Å³/f.u.

The space group is Imma (No. 74) and the conventional cell measures 5.207, 5.685 and 7.524 Å, with angles of 90.00, 90.00 and 90.00 degrees. Symmetry generates all atoms from Zr at (0.000, 0.250, 0.123), Ti at (0.000, 0.000, 0.500) and Mo at (0.250, 0.250, 0.750).

(2)
DFT (PBE) results for InGa2TeO8 after structural relaxation.

The calculation puts the raw formation energy at -1508 kJ/mol of formula units. The value obtained for the volume is 139 Å³/f.u.

The space group is Cmmm (No. 65) and the conventional cell measures 6.591, 6.667 and 6.322 Å, with angles of 90.00, 90.00 and 90.00 degrees. Symmetry generates all atoms from In at (0.000, 0.000, 0.000), Ga at (0.000, 0.500, 0.251), Te at (0.000, 0.000, 0.500), O at (0.000, 0.198, 0.273), O at (0.180, 0.500, 0.000) and O at (0.199, 0.500, 0.500).

(3)
DFT (PBE) results for Pm3SmY3Te8 after structural relaxation.

The calculation puts the raw formation energy at -2060 kJ/mol of formula units. The value obtained for the volume is 482 Å³/f.u.

The space group is R-3m (No. 166, hexagonal axes) and the conventional cell measures 8.7935, 8.7935 and 21.5908 Å, with angles of 90.00, 90.00 and 120.00 degrees. Symmetry generates all atoms from Pm at (0.0000, 0.5000, 0.0000), Sm at (0.0000, 0.0000, 0.5000), Y at (0.0000, 0.5000, 0.5000), Te at (0.0000, 0.0000, 0.2473) and Te at (0.0127, 0.5064, 0.7495).

(4)
DFT (PBE) results for TcPt2Br after structural relaxation.

The calculation puts the raw formation energy at 335 kJ/mol of formula units. For the polymorph energy (0 for the lowest one), the calculation gives 658 meV per atom. The value obtained for the volume is 67 Å³/f.u.

The space group is P4/mmm (No. 123) and the conventional cell measures 3.874, 3.874 and 4.456 Å, with angles of 90.00, 90.00 and 90.00 degrees. Symmetry generates all atoms from Tc at (0.000, 0.000, 0.000), Pt at (0.000, 0.500, 0.500) and Br at (0.500, 0.500, 0.000).

(5)
DFT (PBE) results for KTcW2 after structural relaxation.

As for the energy relative to the elements: 890 meV/atom. For the polymorph energy (0 for the lowest one), the calculation gives 132 meV per atom. The value obtained for the volume is 76 Å³/f.u.

The space group is R-3m (No. 166, hexagonal axes) and the conventional cell measures 2.8522, 2.8522 and 32.1715 Å, with angles of 90.00, 90.00 and 120.00 degrees. Symmetry generates all atoms from K at (0.0000, 0.0000, 0.0000), Tc at (0.0000, 0.0000, 0.5000) and W at (0.0000, 0.0000, 0.2347).

(6)
DFT (PBE) results for TcMoSe2 after structural relaxation.

The calculation puts the raw formation energy at -56 kJ/mol of formula units. For the polymorph energy (0 for the lowest one), the calculation gives 40 meV per atom. The value obtained for the volume is 82 Å³/f.u.

The space group is R3m (No. 160, hexagonal axes) and the conventional cell measures 3.0964, 3.0964 and 29.4618 Å, with angles of 90.00, 90.00 and 120.00 degrees. Symmetry generates all atoms from Tc at (0.0000, 0.0000, 0.0000), Mo at (0.0000, 0.0000, 0.2550), Se at (0.0000, 0.0000, 0.5285) and Se at (0.0000, 0.0000, 0.7233).

(7)
DFT (PBE) results for Dy3ThRu4 after structural relaxation.

As for the energy relative to the elements: -414 meV/atom. The value obtained for the volume is 162 Å³/f.u.

The space group is R-3m (No. 166, hexagonal axes) and the conventional cell measures 4.8649, 4.8649 and 23.7067 Å, with angles of 90.00, 90.00 and 120.00 degrees. Symmetry generates all atoms from Dy at (0.0000, 0.0000, 0.0000), Dy at (0.0000, 0.0000, 0.2539), Th at (0.0000, 0.0000, 0.5000), Ru at (0.0000, 0.0000, 0.1271) and Ru at (0.0000, 0.0000, 0.3778).

(8)
DFT (PBE) results for Dy4Al5Si2 after structural relaxation.

The calculation puts the raw formation energy at -546 kJ/mol of formula units. The value obtained for the volume is 237 Å³/f.u.

The space group is P2/m (No. 10) and the conventional cell measures 6.849, 4.323 and 8.028 Å, with angles of 90.00, 93.19 and 90.00 degrees. Symmetry generates all atoms from Dy at (0.213, 0.000, 0.364), Dy at (0.240, 0.000, 0.906), Al at (0.138, 0.500, 0.629), Al at (0.452, 0.500, 0.163), Al at (0.500, 0.500, 0.500) and Si at (0.082, 0.500, 0.132).

(9)
DFT (PBE) results for Mg2IrBr after structural relaxation.

The calculation puts the raw formation energy at -193 kJ/mol of formula units. For the polymorph energy (0 for the lowest one), the calculation gives 37 meV per atom. The value obtained for the volume is 76 Å³/f.u.

The space group is P4/mmm (No. 123) and the conventional cell measures 3.234, 3.234 and 7.308 Å, with angles of 90.00, 90.00 and 90.00 degrees. Symmetry generates all atoms from Mg at (0.000, 0.000, 0.205), Ir at (0.500, 0.500, 0.000) and Br at (0.500, 0.500, 0.500).

(10)
DFT (PBE) results for K2TbPu3O12 after structural relaxation.

The calculation puts the raw formation energy at -4399 kJ/mol of formula units. The value obtained for the volume is 348 Å³/f.u.

The space group is R-3m (No. 166, hexagonal axes) and the conventional cell measures 8.0153, 8.0153 and 18.7433 Å, with angles of 90.00, 90.00 and 120.00 degrees. Symmetry generates all atoms from K at (0.0000, 0.0000, 0.1714), Tb at (0.0000, 0.0000, 0.5000), Pu at (0.0000, 0.5000, 0.0000), O at (0.0558, 0.5279, 0.1016) and O at (0.0913, 0.5456, 0.3526).

(11)
DFT (PBE) results for Si2GeRh2 after structural relaxation.

The calculation puts the raw formation energy at -203 kJ/mol of formula units. For the polymorph energy (0 for the lowest one), the calculation gives 12 meV per atom. The value obtained for the volume is 73 Å³/f.u.

The space group is P4/mbm (No. 127) and the conventional cell measures 7.270, 7.270 and 2.747 Å, with angles of 90.00, 90.00 and 90.00 degrees. Symmetry generates all atoms from Si at (0.148, 0.352, 0.000), Ge at (0.000, 0.000, 0.500) and Rh at (0.145, 0.645, 0.500).

(12)
DFT (PBE) results for EuTmGe2 after structural relaxation.

As for the energy relative to the elements: -464 meV/atom. For the polymorph energy (0 for the lowest one), the calculation gives 156 meV per atom. The value obtained for the volume is 103 Å³/f.u.

The space group is R-3m (No. 166, hexagonal axes) and the conventional cell measures 3.7934, 3.7934 and 24.9004 Å, with angles of 90.00, 90.00 and 120.00 degrees. Symmetry generates all atoms from Eu at (0.0000, 0.0000, 0.0000), Tm at (0.0000, 0.0000, 0.5000) and Ge at (0.0000, 0.0000, 0.2462).

(13)
DFT (PBE) results for NpFeS after structural relaxation.

The calculation puts the raw formation energy at -157 kJ/mol of formula units. The value obtained for the volume is 55 Å³/f.u.

The space group is Cmcm (No. 63) and the conventional cell measures 3.616, 15.250 and 4.003 Å, with angles of 90.00, 90.00 and 90.00 degrees. Symmetry generates all atoms from Np at (0.000, 0.126, 0.250), Fe at (0.000, 0.463, 0.250) and S at (0.000, 0.316, 0.250).

(14)
DFT (PBE) results for NaLi2LaHg4 after structural relaxation.

As for the energy relative to the elements: -341 meV/atom. The value obtained for the volume is 193 Å³/f.u.

The space group is R-3m (No. 166, hexagonal axes) and the conventional cell measures 5.1390, 5.1390 and 25.3029 Å, with angles of 90.00, 90.00 and 120.00 degrees. Symmetry generates all atoms from Na at (0.0000, 0.0000, 0.0000), Li at (0.0000, 0.0000, 0.2523), La at (0.0000, 0.0000, 0.5000), Hg at (0.0000, 0.0000, 0.1199) and Hg at (0.0000, 0.0000, 0.3738).

(15)
DFT (PBE) results for Co5Cu3H12 after structural relaxation.

The calculation puts the total energy at -674.53 eV/cell. The value obtained for the volume is 130 Å³/f.u.

The space group is Ia-3d (No. 230) and the conventional cell measures 10.137, 10.137 and 10.137 Å, with angles of 90.00, 90.00 and 90.00 degrees. Symmetry generates all atoms from Co at (0.000, 0.000, 0.000), Co at (0.000, 0.250, 0.375), Cu at (0.000, 0.250, 0.125) and H at (0.019, 0.060, 0.648).

(16)
DFT (PBE) results for ErGa2CuPd4 after structural relaxation.

As for the energy relative to the elements: -637 meV/atom. The value obtained for the volume is 131 Å³/f.u.

The space group is R-3m (No. 166, hexagonal axes) and the conventional cell measures 4.3951, 4.3951 and 23.4105 Å, with angles of 90.00, 90.00 and 120.00 degrees. Symmetry generates all atoms from Er at (0.0000, 0.0000, 0.0000), Ga at (0.0000, 0.0000, 0.2421), Cu at (0.0000, 0.0000, 0.5000), Pd at (0.0000, 0.0000, 0.1269) and Pd at (0.0000, 0.0000, 0.3922).